P.
MgHg2F PBE optimized geometry; density of states at the Fermi level = 0.7 states/eV per cell; space group = Fm-3m; size of the total moment = 0.00 Bohr magnetons per cell
1.0
0.0000 3.4534 3.4534
3.4534 0.0000 3.4534
3.4534 3.4534 0.0000
Mg Hg F
1 2 1
direct
0.5000 0.5000 0.5000
0.2500 0.2500 0.2500
0.7500 0.7500 0.7500
0.0000 0.0000 0.0000

***

Q.
MgHg2F PBE optimized geometry; density of states at the Fermi level = 2.4 states/eV per cell; space group = I-42d; size of the total moment = 0.00 Bohr magnetons per cell
1.0
7.7115 0.0000 0.0000
0.0000 7.7115 0.0000
3.8558 3.8558 2.8313
Mg Hg F
2 4 2
direct
0.0000 0.0000 0.0000
0.7500 0.2500 0.5000
0.6122 0.1250 0.2500
0.1378 0.6250 0.2500
0.3750 0.3878 0.7500
0.8750 0.8622 0.7500
0.5000 0.5000 0.0000
0.2500 0.7500 0.5000

***

Which of them is the most stable, and which is the least stable? Q and P, in that order.

***

P.
Mg2HgF2 PBE optimized geometry; density of states at the Fermi level = 2.5 states/eV per cell; space group = P4/mbm; size of the total moment = 0.00 Bohr magnetons per cell
1.0
-0.8645 7.3824 -1.8794
-1.4371 -2.0156 -7.2561
-2.7824 -0.1733 0.5992
Mg Hg F
4 2 4
direct
0.1295 0.6295 0.5000
0.6295 0.8705 0.5000
0.8705 0.3705 0.5000
0.3705 0.1295 0.5000
0.0000 0.0000 0.0000
0.5000 0.5000 0.0000
0.3963 0.8963 0.0000
0.8963 0.6037 0.0000
0.6037 0.1037 0.0000
0.1037 0.3963 0.0000

***

Q.
Mg2HgF2 PBE optimized geometry; density of states at the Fermi level = 1.2 states/eV per cell; space group = I4/mmm; size of the total moment = 0.00 Bohr magnetons per cell
1.0
4.2595 0.0000 0.0000
0.0000 4.2595 0.0000
2.1297 2.1297 5.0728
Mg Hg F
2 1 2
direct
0.7500 0.2500 0.5000
0.2500 0.7500 0.5000
0.0000 0.0000 0.0000
0.2959 0.2959 0.4083
0.7041 0.7041 0.5917

***

Which of them is the most stable, and which is the least stable? Q and P, in that order.

***

P.
MgHgOF2 PBE optimized geometry; density of states at the Fermi level = 0.3 states/eV per cell; space group = P4/mmm; size of the total moment = 0.00 Bohr magnetons per cell
1.0
3.7876 0.0000 0.0000
0.0000 3.7876 0.0000
0.0000 0.0000 4.4067
Mg Hg O F
1 1 1 2
direct
0.0000 0.0000 0.0000
0.5000 0.5000 0.5000
0.0000 0.0000 0.5000
0.0000 0.5000 0.0000
0.5000 0.0000 0.0000

***

Q.
MgHgOF2 PBE optimized geometry; density of states at the Fermi level = 1.1 states/eV per cell; space group = P4/mmm; size of the total moment = 0.00 Bohr magnetons per cell
1.0
-3.3613 2.3991 1.8216
-2.8655 -3.3883 -0.8252
0.8776 -1.6735 3.8234
Mg Hg O F
1 1 1 2
direct
0.5000 0.5000 0.5000
0.0000 0.0000 0.0000
0.0000 0.0000 0.5000
0.0000 0.5000 0.0000
0.5000 0.0000 0.0000

***

Which of them is the most stable, and which is the least stable? P and Q, in that order.